The following is a DFT calculation (PBE) of a relaxed structure of LiMg3In.

Values from the calculation:
- E_form: 1.0 eV/f.u.
- E_tot: -1.693 eV/atom
- Symmetry: Amm2
- Magnetic moment: 0.00 μB per formula unit

Geometry as extended XYZ:
```
5
Lattice="-4.028 2.015 -1.484 -2.826 -5.270 0.512 0.201 3.752 4.552" Properties=species:S:1:pos:R:3 pbc="T T T"
Mg -2.604 -3.524 2.280
Mg -3.663 -1.409 0.453
Mg -1.178 -0.865 2.022
In -1.060 0.977 4.206
Li -4.458 -0.677 3.605
```

The following is a DFT calculation (PBE) of a relaxed structure of Pm7Y3Ho2.

Values from the calculation:
- E_form: 1.2 eV/f.u.
- E_tot: -5.047 eV/atom
- Symmetry: Cmmm
- Magnetic moment: 0.00 μB per formula unit

Geometry as extended XYZ:
```
12
Lattice="3.640 0.000 0.000 0.000 5.796 0.000 0.000 -2.898 19.087" Properties=species:S:1:pos:R:3 pbc="T T T"
Pm 0.000 0.000 15.546
Pm 1.820 0.000 2.771
Pm 0.000 2.898 3.540
Pm 0.000 0.000 0.000
Pm 0.000 2.898 10.231
Pm 0.000 0.000 8.855
Pm 1.820 2.898 16.316
Ho 0.000 0.000 5.671
Ho 0.000 2.898 13.416
Y 1.820 2.898 0.000
Y 1.820 2.898 7.036
Y 1.820 0.000 12.051
```

The following is a DFT calculation (PBE) of a relaxed structure of Sr2LaCl.

Values from the calculation:
- E_tot: -3.225 eV/atom
- Symmetry: P4/mmm
- Magnetic moment: 0.00 μB per formula unit
- Formation energy (no corrections): -0.69 eV per atom

Geometry as extended XYZ:
```
4
Lattice="3.792 0.000 0.000 0.000 3.792 0.000 0.000 0.000 10.438" Properties=species:S:1:pos:R:3 pbc="T T T"
Sr 0.000 0.000 0.385
Sr 0.000 0.000 4.834
Cl 1.896 1.896 2.610
La 1.896 1.896 7.829
```

Number 1: ΔE to the lowest computed polymorph 289.9 meV per atom. Number 2: ΔE to the lowest computed polymorph 0.0 meV per atom. Number 3: ΔE to the lowest computed polymorph 108.0 meV per atom.